1.
Compound: ZrPd3Pt
Source: Alexandria via LeMat-Bulk
Functional: PBE
Structure: optimized geometry

Values from the calculation:
As for the formation energy from the elements: 0.8112 eV/atom. The raw total energy is -5.222 eV per atom. Its energy above the most stable polymorph in this dataset is 1454 meV per atom. As for the space group: Pm-3m, No. 221. For the density of states at the Fermi level, the calculation gives 6.92 states/eV/f.u.

abc: 4.826 4.826 4.826
angles: 90.00 90.00 90.00
Element x y z (fractional)
Zr (0.000, 0.000, 0.000)
Pd (0.000, 0.500, 0.500)
Pd (0.500, 0.000, 0.500)
Pd (0.500, 0.500, 0.000)
Pt (0.500, 0.500, 0.500)

---

2.
Compound: Li2CaTaO4
Source: Alexandria via LeMat-Bulk
Functional: PBE
Structure: optimized geometry

Values from the calculation:
The formation energy without anion corrections comes out at -2389 meV/atom. The raw total energy is -7.079 eV per atom. As for the space group: I-42m, No. 121. For the density of states at the Fermi level, the calculation gives 0.69 states/eV/f.u.

abc: 5.118 5.118 5.118
angles: 115.57 115.57 97.87
Element x y z (fractional)
Li (0.250, 0.750, 0.500)
Li (0.750, 0.250, 0.500)
Ca (0.000, 0.000, 0.000)
Ta (0.500, 0.500, 0.000)
O (0.147, 0.595, 0.000)
O (0.405, 0.405, 0.552)
O (0.595, 0.147, 0.000)
O (0.853, 0.853, 0.448)

---

3.
Compound: ThScAu
Source: Alexandria via LeMat-Bulk
Functional: PBE
Structure: optimized geometry

Values from the calculation:
As for the formation energy from the elements: -0.4427 eV/atom. The raw total energy is -6.119 eV per atom. Its energy above the most stable polymorph in this dataset is 38 meV per atom. As for the space group: I4mm, No. 107. For the density of states at the Fermi level, the calculation gives 4.92 states/eV/f.u.

abc: 6.643 6.643 6.643
angles: 149.74 149.74 43.33
Element x y z (fractional)
Th (0.000, 0.000, 0.000)
Sc (0.304, 0.304, 0.000)
Au (0.683, 0.683, 0.000)

---

4.
Compound: Sm2Ag4Pd3
Source: Alexandria via LeMat-Bulk
Functional: PBE
Structure: optimized geometry

Values from the calculation:
As for the formation energy from the elements: -0.4280 eV/atom. The raw total energy is -4.475 eV per atom. As for the space group: C2/m, No. 12. For the density of states at the Fermi level, the calculation gives 4.24 states/eV/f.u.

abc: 5.463 5.463 9.002
angles: 112.55 112.55 46.15
Element x y z (fractional)
Sm (0.170, 0.170, 0.235)
Sm (0.830, 0.830, 0.765)
Ag (0.168, 0.168, 0.889)
Ag (0.496, 0.496, 0.660)
Ag (0.504, 0.504, 0.340)
Ag (0.832, 0.832, 0.111)
Pd (0.156, 0.156, 0.555)
Pd (0.500, 0.500, 0.000)
Pd (0.844, 0.844, 0.445)